First-principles (PBE) data for a relaxed ScTc4Sb crystal, as listed in Alexandria.

a b c (Å): 5.2456 5.2456 5.2456
angles (deg): 60.00 60.00 60.00
With the nearest neighbours (Å) after each atom.
Positions (direct):
Sc: 0.0000 0.0000 0.0000  12 Tc 3.08, 4 Sb 3.21
Tc: 0.3758 0.8727 0.3758  6 Tc 2.61-2.64
Tc: 0.8727 0.3758 0.3758  6 Tc 2.61-2.64
Tc: 0.3758 0.3758 0.8727  6 Tc 2.61-2.64
Tc: 0.3758 0.3758 0.3758  6 Tc 2.61-2.64
Sb: 0.7500 0.7500 0.7500  12 Tc 3.07, 4 Sc 3.21

The value obtained for the raw total energy is -51.7 eV/cell. The crystal system is cubic. The calculation puts the formation energy from raw total energies at 37 meV/atom.